Below is a geometry-optimized InFeNiW structure, with properties calculated at the PBE-GGA level.

The spin magnetization comes out at 1.39 μB/f.u. Its energy above the most stable polymorph in this dataset is 0.0 meV per atom.

The space group is F-43m (No. 216) and the conventional cell measures 6.114, 6.114 and 6.114 Å, with angles of 90.00, 90.00 and 90.00 degrees. The inequivalent atoms are In at (0.000, 0.000, 0.000), Fe at (0.250, 0.250, 0.250), Ni at (0.250, 0.250, 0.750) and W at (0.000, 0.000, 0.500).